Entry 1:
Entry from Alexandria via LeMat-Bulk: crystalline Al8Ga3 at its relaxed geometry (PBE).

Properties
Calculated volume in Å³ per cell: 382.6
Spin magnetization in μB/cell: 0.00
DFT formation energy in eV/atom: 0.0810
Calculated total energy in eV/cell: -76.26

Cell and atoms, written as CIF:
```
data_Al8Ga3
_chemical_formula_sum 'Al16 Ga6'
_cell_length_a 8.161
_cell_length_b 4.532
_cell_length_c 10.680
_cell_angle_alpha 90.00
_cell_angle_beta 104.43
_cell_angle_gamma 90.00
_space_group_name_H-M_alt 'C 1 2/m 1'
_space_group_IT_number 12
loop_
_space_group_symop_operation_xyz
'x,y,z'
'-x,-y,-z'
'-x,y,-z'
'x,-y,z'
'x+1/2,y+1/2,z'
'-x+1/2,-y+1/2,-z'
'-x+1/2,y+1/2,-z'
'x+1/2,-y+1/2,z'
loop_
_atom_site_label
_atom_site_type_symbol
_atom_site_fract_x
_atom_site_fract_y
_atom_site_fract_z
Al1 Al 0.045 0.000 0.134
Al2 Al 0.090 0.500 0.773
Al3 Al 0.137 0.000 0.409
Al4 Al 0.180 0.500 0.042
Ga1 Ga 0.000 0.500 0.500
Ga2 Ga 0.229 0.000 0.686
```


Entry 2:
Entry from Alexandria via LeMat-Bulk: crystalline NaCr at its relaxed geometry (PBE).

Properties
Calculated volume in Å³ per cell: 372.7
Spin magnetization in μB/cell: 0.02
DFT formation energy in eV/atom: 0.7871
Calculated total energy in eV/cell: -74.95

Cell and atoms, written as CIF:
```
data_NaCr
_chemical_formula_sum 'Na8 Cr8'
_cell_length_a 5.878
_cell_length_b 5.891
_cell_length_c 10.763
_cell_angle_alpha 90.00
_cell_angle_beta 90.00
_cell_angle_gamma 90.00
_space_group_name_H-M_alt 'I m m a'
_space_group_IT_number 74
_space_group_name_Hall '-I 2b 2'
loop_
_atom_site_label
_atom_site_type_symbol
_atom_site_fract_x
_atom_site_fract_y
_atom_site_fract_z
Na1 Na 0.000 0.000 0.000
Na2 Na 0.000 0.250 0.294
Cr1 Cr 0.000 0.250 0.574
Cr2 Cr 0.250 0.250 0.750
```


Entry 3:
Entry from Alexandria via LeMat-Bulk: crystalline Na2SnS3 at its relaxed geometry (PBE).

Properties
Calculated volume in Å³ per cell: 517.2
ΔE_f (raw) in eV per atom: -0.73
Spin magnetization in μB/cell: 0.00
Calculated total energy in eV/cell: -93.70

Cell and atoms, written as CIF:
```
data_Na2SnS3
_chemical_formula_sum 'Na8 Sn4 S12'
_cell_length_a 15.137
_cell_length_b 3.874
_cell_length_c 9.326
_cell_angle_alpha 90.00
_cell_angle_beta 108.96
_cell_angle_gamma 90.00
_space_group_name_H-M_alt 'C 1 2/m 1'
_space_group_IT_number 12
loop_
_space_group_symop_operation_xyz
'x,y,z'
'-x,-y,-z'
'-x,y,-z'
'x,-y,z'
'x+1/2,y+1/2,z'
'-x+1/2,-y+1/2,-z'
'-x+1/2,y+1/2,-z'
'x+1/2,-y+1/2,z'
loop_
_atom_site_label
_atom_site_type_symbol
_atom_site_fract_x
_atom_site_fract_y
_atom_site_fract_z
Na1 Na 0.165 0.000 0.335
Na2 Na 0.187 0.500 0.854
Sn1 Sn 0.000 0.000 0.500
Sn2 Sn 0.000 0.500 0.000
S1 S 0.034 0.000 0.810
S2 S 0.122 0.500 0.541
S3 S 0.169 0.500 0.135
```


Entry 4:
Entry from Alexandria via LeMat-Bulk: crystalline AcLa6Ho8 at its relaxed geometry (PBE).

Properties
Calculated volume in Å³ per cell: 1559.6
Spin magnetization in μB/cell: 0.00
DFT formation energy in eV/atom: 0.1316
Calculated total energy in eV/cell: -204.96

Cell and atoms, written as CIF:
```
data_AcLa6Ho8
_chemical_formula_sum 'Ac3 La18 Ho24'
_cell_length_a 9.1344
_cell_length_b 9.1344
_cell_length_c 21.5840
_cell_angle_alpha 90.00
_cell_angle_beta 90.00
_cell_angle_gamma 120.00
_space_group_name_H-M_alt 'R -3'
_space_group_IT_number 148
_space_group_name_Hall '-R 3'
loop_
_atom_site_label
_atom_site_type_symbol
_atom_site_fract_x
_atom_site_fract_y
_atom_site_fract_z
Ac1 Ac 0.0000 0.0000 0.0000
La1 La 0.0455 0.8030 0.7144
Ho1 Ho 0.0000 0.0000 0.4230
Ho2 Ho 0.0782 0.5052 0.8057
```


Entry 5:
Entry from Alexandria via LeMat-Bulk: crystalline BeInAs2 at its relaxed geometry (PBE).

Properties
Calculated volume in Å³ per cell: 153.2
Spin magnetization in μB/cell: 0.00
DFT formation energy in eV/atom: 0.4996
Calculated total energy in eV/cell: -27.53

Cell and atoms, written as CIF:
```
data_BeInAs2
_chemical_formula_sum 'Be2 In2 As4'
_cell_length_a 5.546
_cell_length_b 7.402
_cell_length_c 3.731
_cell_angle_alpha 90.00
_cell_angle_beta 90.00
_cell_angle_gamma 90.00
_space_group_name_H-M_alt 'C m m m'
_space_group_IT_number 65
_space_group_name_Hall '-C 2 2'
loop_
_atom_site_label
_atom_site_type_symbol
_atom_site_fract_x
_atom_site_fract_y
_atom_site_fract_z
Be1 Be 0.000 0.000 0.000
In1 In 0.000 0.500 0.000
As1 As 0.250 0.250 0.500
```


Entry 6:
Entry from Alexandria via LeMat-Bulk: crystalline FeTeS at its relaxed geometry (PBE).

Properties
Calculated volume in Å³ per cell: 214.5
ΔE_f (raw) in eV per atom: -0.23
Spin magnetization in μB/cell: 0.00
Calculated total energy in eV/cell: -65.70

Cell and atoms, written as CIF:
```
data_FeTeS
_chemical_formula_sum 'Fe4 Te4 S4'
_cell_length_a 6.144
_cell_length_b 5.016
_cell_length_c 6.961
_cell_angle_alpha 90.00
_cell_angle_beta 91.30
_cell_angle_gamma 90.00
_space_group_name_H-M_alt 'P 1 21/c 1'
_space_group_IT_number 14
loop_
_space_group_symop_operation_xyz
'x,y,z'
'-x,-y,-z'
'-x,y+1/2,-z+1/2'
'x,-y+1/2,z+1/2'
loop_
_atom_site_label
_atom_site_type_symbol
_atom_site_fract_x
_atom_site_fract_y
_atom_site_fract_z
Fe1 Fe 0.218 0.027 0.357
Te1 Te 0.419 0.727 0.604
S1 S 0.071 0.240 0.610
```


Entry 7:
Entry from Alexandria via LeMat-Bulk: crystalline TlCoSe2 at its relaxed geometry (PBE).

Properties
Calculated volume in Å³ per cell: 197.3
ΔE_f (raw) in eV per atom: -0.06
Spin magnetization in μB/cell: 2.94
Calculated total energy in eV/cell: -33.37

Cell and atoms, written as CIF:
```
data_TlCoSe2
_chemical_formula_sum 'Tl2 Co2 Se4'
_cell_length_a 3.590
_cell_length_b 6.404
_cell_length_c 8.582
_cell_angle_alpha 90.00
_cell_angle_beta 90.00
_cell_angle_gamma 90.00
_space_group_name_H-M_alt 'I m m m'
_space_group_IT_number 71
_space_group_name_Hall '-I 2 2'
loop_
_atom_site_label
_atom_site_type_symbol
_atom_site_fract_x
_atom_site_fract_y
_atom_site_fract_z
Tl1 Tl 0.000 0.000 0.000
Co1 Co 0.000 0.000 0.500
Se1 Se 0.000 0.500 0.171
```


no.,density of states at the Fermi level (states/eV/cell)
1,6.9
2,5.7
3,2.5
4,70.5
5,2.5
6,1.6
7,8.1